Crystalline Cs2ErPb3F12 at its relaxed geometry, computed with GGA-PBE.

Lattice parameters (Å, degrees): 8.5162 8.5162 21.1729 90.00 90.00 120.00
With the nearest neighbours (Å) after each atom.
Space group R-3m (No. 166, hexagonal axes)
Unique sites:
Cs: 0.0000 0.0000 0.1073 x6  3 F 3.28
Er: 0.0000 0.0000 0.5000 x3  6 F 2.16
Pb: 0.0000 0.5000 0.0000 x9  6 F 2.38-2.40
F: 0.0532 0.5266 0.3645 x18  2 Pb 2.38
F: 0.0920 0.5460 0.1089 x18  1 Er 2.16, 1 Pb 2.40

Calculated values
The calculation puts the formation energy (no corrections) at -2767 meV/atom. The density of states at the Fermi level comes out at 0.498 states/eV/atom. As for the magnetic moment: 0.0000 μB/atom. For the final energy, the calculation gives -4.981 eV per atom.